No. 1
# BaSnTe2O8 GGA-PBE relaxed
data_BaSnTe2O8
_chemical_formula_sum 'Ba1 Sn1 Te2 O8'
_cell_length_a 5.695
_cell_length_b 5.695
_cell_length_c 7.682
_cell_angle_alpha 90.00
_cell_angle_beta 90.00
_cell_angle_gamma 120.00
_space_group_name_H-M_alt 'P 1'
_space_group_IT_number 1
loop_
_space_group_symop_operation_xyz
'x,y,z'
loop_
_atom_site_label
_atom_site_type_symbol
_atom_site_fract_x
_atom_site_fract_y
_atom_site_fract_z
Ba1 Ba 0.000 0.000 0.000
Sn1 Sn 0.000 0.000 0.500
Te1 Te 0.333 0.667 0.698
Te2 Te 0.667 0.333 0.302
O1 O 0.022 0.292 0.673
O2 O 0.270 0.978 0.673
O3 O 0.292 0.270 0.327
O4 O 0.333 0.667 0.937
O5 O 0.667 0.333 0.063
O6 O 0.708 0.730 0.673
O7 O 0.730 0.022 0.327
O8 O 0.978 0.708 0.327
# - Crystal system: trigonal
# - DOS(E_F): 3.81 states/eV/f.u.
# - Energy: -5.65 eV/atom

=====

No. 2
# BaBe2Rh GGA-PBE relaxed
data_BaBe2Rh
_chemical_formula_sum 'Ba1 Be2 Rh1'
_cell_length_a 5.239
_cell_length_b 5.239
_cell_length_c 5.239
_cell_angle_alpha 136.56
_cell_angle_beta 110.64
_cell_angle_gamma 85.49
_space_group_name_H-M_alt 'P 1'
_space_group_IT_number 1
loop_
_space_group_symop_operation_xyz
'x,y,z'
loop_
_atom_site_label
_atom_site_type_symbol
_atom_site_fract_x
_atom_site_fract_y
_atom_site_fract_z
Ba1 Ba 0.000 0.000 0.000
Be1 Be 0.359 0.859 0.500
Be2 Be 0.641 0.141 0.500
Rh1 Rh 0.500 0.500 0.000
# - Formation energy: 269 meV/atom
# - Crystal system: orthorhombic
# - DOS(E_F): 1.73 states/eV/f.u.
# - Energy: -3.91 eV/atom
# - Energy relative to the lowest polymorph listed for this composition: 1.838 eV/f.u.